Compound: AcPrSmEr
Source: Alexandria
Functional: PBE
Structure: optimized geometry

a = 8.361 Å, b = 8.361 Å, c = 8.361 Å
α = 90.00°, β = 90.00°, γ = 90.00°
Space group F-43m (No. 216)
One atom of each set of equivalent atoms:
Ac 0.000 0.000 0.000
Pr 0.250 0.250 0.250
Sm 0.250 0.250 0.750
Er 0.000 0.000 0.500

The calculation puts the spin magnetization at 3.9 μB/cell. Its energy relative to the elements is 169 meV per atom. The offset from the most stable computed form is 0.1202 eV per atom.


Compound: Ta2AgHg
Source: Alexandria
Functional: PBE
Structure: optimized geometry

a = 4.146 Å, b = 4.146 Å, c = 8.664 Å
α = 90.00°, β = 90.00°, γ = 90.00°
Space group I-4m2 (No. 119)
One atom of each set of equivalent atoms:
Ta 0.000 0.000 0.000
Ta 0.000 0.500 0.250
Ag 0.000 0.500 0.750
Hg 0.000 0.000 0.500

The calculation puts the spin magnetization at 1.5 μB/cell. Its energy relative to the elements is 506 meV per atom.


Compound: Na2Ag2Te
Source: Alexandria
Functional: PBE
Structure: optimized geometry

a = 7.465 Å, b = 7.465 Å, c = 4.559 Å
α = 90.00°, β = 90.00°, γ = 90.00°
Space group P4/mbm (No. 127)
One atom of each set of equivalent atoms:
Na 0.173 0.327 0.000
Ag 0.129 0.629 0.500
Te 0.000 0.000 0.500

The calculation puts the spin magnetization at 0.0 μB/cell. Its uncorrected formation energy is -23 kJ per mole of atoms. The offset from the most stable computed form is 0.0000 eV per atom.


Compound: TbZn2Cd3
Source: Alexandria
Functional: PBE
Structure: optimized geometry

a = 16.396 Å, b = 4.556 Å, c = 7.282 Å
α = 90.00°, β = 111.16°, γ = 90.00°
Space group C2/m (No. 12)
One atom of each set of equivalent atoms:
Tb 0.118 0.000 0.184
Zn 0.015 0.500 0.844
Zn 0.237 0.000 0.659
Cd 0.068 0.000 0.702
Cd 0.131 0.500 0.503
Cd 0.193 0.500 0.935

The calculation puts the spin magnetization at 0.0 μB/cell. Its energy relative to the elements is -199 meV per atom.


Compound: AcPuS2
Source: Alexandria
Functional: PBE
Structure: optimized geometry

a = 7.211 Å, b = 7.211 Å, c = 7.211 Å
α = 90.00°, β = 90.00°, γ = 90.00°
Space group Fm-3m (No. 225)
One atom of each set of equivalent atoms:
Ac 0.000 0.000 0.000
Pu 0.000 0.000 0.500
S 0.250 0.250 0.250

The calculation puts the spin magnetization at 26.8 μB/cell. Its uncorrected formation energy is -146 kJ per mole of atoms. The offset from the most stable computed form is 0.3525 eV per atom.


Compound: Li4Y5Hg4
Source: Alexandria
Functional: PBE
Structure: optimized geometry

a = 11.432 Å, b = 11.432 Å, c = 4.815 Å
α = 90.00°, β = 90.00°, γ = 90.00°
Space group I4/m (No. 87)
One atom of each set of equivalent atoms:
Li 0.074 0.603 0.000
Y 0.000 0.000 0.500
Y 0.125 0.199 0.000
Hg 0.060 0.743 0.500

The calculation puts the spin magnetization at 0.0 μB/cell. Its energy relative to the elements is -324 meV per atom.